No. 1
Compound: CrMoP2
Source: Alexandria via LeMat-Bulk
Functional: PBEsol
Structure: relaxed

- Polymorph energy (0 for the lowest one): 845.4 meV/atom
- N(E_F): 13.76 states/eV/cell
- Volume: 18.46 Å³ per atom
- DFT formation energy: 1.0 eV/f.u.

Lattice parameters (Å, degrees): 5.4056 5.4056 10.1078 90.00 90.00 90.00
Last column: nearest neighbours and their distance in Å.
Space group I-42d (No. 122)
One atom of each set of equivalent atoms:
Cr  0.0000  0.0000  0.0000  4 P 2.26
Mo  0.0000  0.0000  0.5000  4 P 2.32
P  0.2398  0.2500  0.1250  2 Cr 2.26, 2 Mo 2.32

=====

No. 2
Compound: Mn2Au3
Source: Alexandria via LeMat-Bulk
Functional: PBEsol
Structure: relaxed

- Polymorph energy (0 for the lowest one): 0.0 meV/atom
- N(E_F): 4.51 states/eV/cell
- Volume: 15.83 Å³ per atom
- DFT formation energy: 0.1 eV/f.u.

Lattice parameters (Å, degrees): 3.2553 3.3706 14.4297 90.00 90.00 90.00
Last column: nearest neighbours and their distance in Å.
Space group Immm (No. 71)
One atom of each set of equivalent atoms:
Mn  0.0000  0.0000  0.1028  9 Au 2.70-2.91, 1 Mn 2.97
Au  0.0000  0.0000  0.3046  5 Mn 2.70-2.91, 5 Au 2.82
Au  0.0000  0.0000  0.5000  8 Mn 2.77, 2 Au 2.82